SmTmGaRu | PBE | optimized geometry

Cell lengths 3.9435, 4.3062, 5.7031 Å; angles 90.00, 110.23, 90.00 degrees
Positions (direct):
Tm 0.1386 0.0000 0.2772
Ga 0.4359 0.0000 0.8718
Sm 0.8523 0.5000 0.7046
Ru 0.5732 0.5000 0.1464

Summary:
* distance to the lowest polymorph of the same formula: 0.0 meV per atom
* E_form: -0.46 eV per atom
* calculated total energy: -5.84 eV per atom

Cs2YRhO4 | PBE | optimized geometry

Cell lengths 5.9106, 7.5353, 12.3390 Å; angles 84.61, 76.14, 66.91 degrees
Each line ends with the local moment (μB).
Positions (direct):
Cs 0.1892 0.0000 0.6215  0.00
O 0.8534 0.8011 0.9563  0.16
Cs 0.8108 0.0000 0.3785  0.00
Y 0.7500 0.5000 0.5000  -0.01
Cs 0.5608 0.5000 0.8785  0.00
O 0.4045 0.6989 0.4563  0.16
O 0.1902 0.1989 0.9563  0.16
Cs 0.9392 0.5000 0.1215  0.00
O 0.6108 0.1989 0.0437  0.16
Y 0.0000 0.0000 0.0000  -0.01
O 0.3455 0.8011 0.0437  0.16
O 0.8966 0.6989 0.5437  0.16
Rh 0.5000 0.0000 0.0000  1.17
O 0.5598 0.3011 0.5437  0.16
Rh 0.2500 0.5000 0.5000  1.17
O 0.1392 0.3011 0.4563  0.16

Summary:
* calculated total energy: -5.88 eV per atom

Ba2LaBr | PBE | optimized geometry

Cell lengths 6.3591, 6.3591, 6.3591 Å; angles 60.00, 60.00, 60.00 degrees
Each line ends with the local moment (μB).
Positions (direct):
Ba 0.2500 0.2500 0.2500  0.35
Br 0.0000 0.0000 0.0000  0.05
La 0.5000 0.5000 0.5000  1.06
Ba 0.7500 0.7500 0.7500  0.35

Summary:
* distance to the lowest polymorph of the same formula: 572.8 meV per atom
* calculated total energy: -2.69 eV per atom

Li4FeCo | PBE | optimized geometry

Cell lengths 4.7243, 4.7243, 4.7243 Å; angles 60.00, 60.00, 60.00 degrees
Each line ends with the local moment (μB).
Positions (direct):
Li 0.3755 0.8735 0.3755  -0.08
Co 0.7500 0.7500 0.7500  1.47
Li 0.3755 0.3755 0.8735  -0.08
Li 0.8735 0.3755 0.3755  -0.08
Fe 0.0000 0.0000 0.0000  2.77
Li 0.3755 0.3755 0.3755  -0.08

Summary:
* E_form: 0.44 eV per atom
* calculated total energy: -3.43 eV per atom

K2InTe2 | PBE | optimized geometry

Cell lengths 5.5420, 7.8799, 9.5621 Å; angles 90.00, 106.85, 90.00 degrees
Positions (direct):
In 0.5983 0.5530 0.1966
K 0.0189 0.2100 0.0378
Te 0.4393 0.4318 0.8786
Te 0.5607 0.9318 0.1214
Te 0.8428 0.0001 0.6855
Te 0.1572 0.5001 0.3145
In 0.4017 0.0530 0.8034
K 0.7977 0.4396 0.5954
K 0.2023 0.9396 0.4046
K 0.9811 0.7100 0.9622

Summary:
* distance to the lowest polymorph of the same formula: 0.0 meV per atom
* calculated total energy: -3.02 eV per atom

Sr2Ga5Ir3 | PBE | optimized geometry

Cell lengths 5.9940, 8.7079, 8.7079 Å; angles 73.22, 69.87, 69.87 degrees
Positions (direct):
Ga 0.0364 0.2136 0.2136
Sr 0.3609 0.8693 0.4089
Sr 0.8609 0.4089 0.8693
Ir 0.8581 0.7420 0.5419
Ga 0.9636 0.7864 0.7864
Ir 0.3581 0.5419 0.7420
Ga 0.0909 0.0754 0.7428
Sr 0.6391 0.1307 0.5911
Ga 0.4636 0.7864 0.7864
Sr 0.1391 0.5911 0.1307
Ga 0.4091 0.2572 0.9246
Ga 0.5909 0.7428 0.0754
Ir 0.1419 0.2580 0.4581
Ir 0.2500 0.0000 0.0000
Ir 0.7500 0.0000 0.0000
Ga 0.9091 0.9246 0.2572
Ir 0.6419 0.4581 0.2580
Ga 0.2500 0.5000 0.5000
Ga 0.5364 0.2136 0.2136
Ga 0.7500 0.5000 0.5000

Summary:
* E_form: -0.55 eV per atom
* calculated total energy: -5.05 eV per atom

> Which of these has the highest calculated total energy?

Ba2LaBr

> The highest calculated total energy belongs to which entry?

Ba2LaBr

> calculated total energy of number 6 (Sr2Ga5Ir3)?

-5.05 eV per atom